Entry from Alexandria via LeMat-Bulk: a geometry-optimized DyTcN structure (GGA-PBE).

## Properties
Uncorrected formation energy ... -0.957 eV per atom
Symmetry ... Pnma, No. 62

Cell: 15.684 3.357 3.357 Å, 90.00 90.00 90.00°
Element x y z (fractional)
Dy 0.171 0.250 0.249
Dy 0.329 0.750 0.749
Dy 0.671 0.250 0.251
Dy 0.829 0.750 0.751
Tc 0.039 0.750 0.750
Tc 0.461 0.250 0.250
Tc 0.539 0.750 0.750
Tc 0.961 0.250 0.250
N 0.174 0.750 0.749
N 0.326 0.250 0.249
N 0.674 0.750 0.751
N 0.826 0.250 0.251